Material: SiHS
Method: DFT, PBE-GGA
State: relaxed

Cell lengths 5.4418, 3.1216, 5.9709 Å; angles 90.00, 105.20, 90.00 degrees
Space group P2_1/m (No. 11)
One atom of each set of equivalent atoms:
Si 0.2258 0.2500 0.1661 (multiplicity 2)
H 0.2978 0.7500 0.3210 (multiplicity 2)
S 0.1923 0.7500 0.8648 (multiplicity 2)

- density of states at the Fermi level (states/eV per cell) = 0.71
- E (eV/atom) = -4.293